[1]
Below is crystalline V2NiPt3 at its relaxed geometry, with properties calculated at the PBE level.

Cell and atoms, written as CIF:
```
data_V2NiPt3
_chemical_formula_sum 'V2 Ni1 Pt3'
_cell_length_a 3.801
_cell_length_b 3.872
_cell_length_c 6.089
_cell_angle_alpha 108.54
_cell_angle_beta 90.00
_cell_angle_gamma 90.00
_symmetry_space_group_name_H-M 'P 1'
_symmetry_Int_Tables_number 1
loop_
_symmetry_equiv_pos_as_xyz
'x,y,z'
loop_
_atom_site_label
_atom_site_fract_x
_atom_site_fract_y
_atom_site_fract_z
V1 0.000 0.666 0.332
V2 0.000 0.334 0.668
Ni1 0.000 0.000 0.000
Pt1 0.500 0.167 0.334
Pt2 0.500 0.500 0.000
Pt3 0.500 0.833 0.666
```

Computed properties:
Space group   Cmmm
Distance to the lowest polymorph of the same formula   0.0 kJ/mol of formula units
Calculated formation energy   -0.431 eV per atom
Theoretical density   14.58 g/cm3



[2]
Below is crystalline RbTbGeBr6 at its relaxed geometry, with properties calculated at the PBE level.

Cell and atoms, written as CIF:
```
data_RbTbGeBr6
_chemical_formula_sum 'Rb1 Tb1 Ge1 Br6'
_cell_length_a 7.364
_cell_length_b 7.364
_cell_length_c 7.635
_cell_angle_alpha 90.00
_cell_angle_beta 90.00
_cell_angle_gamma 60.00
_symmetry_space_group_name_H-M 'P 1'
_symmetry_Int_Tables_number 1
loop_
_symmetry_equiv_pos_as_xyz
'x,y,z'
loop_
_atom_site_label
_atom_site_fract_x
_atom_site_fract_y
_atom_site_fract_z
Rb1 0.000 0.000 0.000
Tb1 0.333 0.333 0.500
Ge1 0.667 0.667 0.500
Br1 0.001 0.374 0.287
Br2 0.374 0.001 0.713
Br3 0.625 0.374 0.713
Br4 0.001 0.626 0.713
Br5 0.374 0.625 0.287
Br6 0.625 0.001 0.287
```

Computed properties:
Space group   P312
Energy relative to the elements, uncorrected   -1.44 eV per atom
Theoretical density   3.69 g/cm3



[3]
Below is crystalline Cs2CuGeCl6 at its relaxed geometry, with properties calculated at the PBE level.

Cell and atoms, written as CIF:
```
data_Cs2CuGeCl6
_chemical_formula_sum 'Cs2 Cu1 Ge1 Cl6'
_cell_length_a 7.183
_cell_length_b 7.183
_cell_length_c 7.259
_cell_angle_alpha 60.35
_cell_angle_beta 60.35
_cell_angle_gamma 90.00
_symmetry_space_group_name_H-M 'P 1'
_symmetry_Int_Tables_number 1
loop_
_symmetry_equiv_pos_as_xyz
'x,y,z'
loop_
_atom_site_label
_atom_site_fract_x
_atom_site_fract_y
_atom_site_fract_z
Cs1 0.750 0.250 0.500
Cs2 0.250 0.750 0.500
Ge1 0.000 0.000 0.000
Cu1 0.500 0.500 0.000
Cl1 0.248 0.248 0.504
Cl2 0.752 0.752 0.496
Cl3 0.255 0.255 0.000
Cl4 0.745 0.745 0.000
Cl5 0.745 0.255 0.000
Cl6 0.255 0.745 0.000
```

Computed properties:
Space group   I4/mmm
Energy relative to the elements, uncorrected   -1.23 eV per atom
Theoretical density   3.81 g/cm3



[4]
Below is crystalline ScCdSe2Br at its relaxed geometry, with properties calculated at the PBE level.

Cell and atoms, written as CIF:
```
data_ScCdSe2Br
_chemical_formula_sum 'Sc1 Cd1 Se2 Br1'
_cell_length_a 5.228
_cell_length_b 5.228
_cell_length_c 5.259
_cell_angle_alpha 90.00
_cell_angle_beta 90.00
_cell_angle_gamma 90.00
_symmetry_space_group_name_H-M 'P 1'
_symmetry_Int_Tables_number 1
loop_
_symmetry_equiv_pos_as_xyz
'x,y,z'
loop_
_atom_site_label
_atom_site_fract_x
_atom_site_fract_y
_atom_site_fract_z
Sc1 0.500 0.500 0.500
Se1 0.000 0.500 0.000
Se2 0.500 0.000 0.000
Br1 0.000 0.000 0.500
Cd1 0.000 0.000 0.000
```

Computed properties:
Space group   P4/mmm
Energy relative to the elements, uncorrected   -0.09 eV per atom
Distance to the lowest polymorph of the same formula   285.2 kJ/mol of formula units
Theoretical density   4.56 g/cm3



[5]
Below is crystalline YCrGeN2 at its relaxed geometry, with properties calculated at the PBE level.

Cell and atoms, written as CIF:
```
data_YCrGeN2
_chemical_formula_sum 'Y1 Cr1 Ge1 N2'
_cell_length_a 4.131
_cell_length_b 4.131
_cell_length_c 4.499
_cell_angle_alpha 90.00
_cell_angle_beta 90.00
_cell_angle_gamma 90.00
_symmetry_space_group_name_H-M 'P 1'
_symmetry_Int_Tables_number 1
loop_
_symmetry_equiv_pos_as_xyz
'x,y,z'
loop_
_atom_site_label
_atom_site_fract_x
_atom_site_fract_y
_atom_site_fract_z
Y1 0.500 0.500 0.500
Cr1 0.000 0.000 0.500
Ge1 0.000 0.000 0.000
N1 0.000 0.500 0.000
N2 0.500 0.000 0.000
```

Computed properties:
Space group   P4/mmm
Energy relative to the elements, uncorrected   1.02 eV per atom
Theoretical density   5.23 g/cm3



[6]
Below is crystalline AsWSeBr2 at its relaxed geometry, with properties calculated at the PBE level.

Cell and atoms, written as CIF:
```
data_AsWSeBr2
_chemical_formula_sum 'As1 W1 Se1 Br2'
_cell_length_a 4.908
_cell_length_b 4.908
_cell_length_c 5.131
_cell_angle_alpha 90.00
_cell_angle_beta 90.00
_cell_angle_gamma 90.00
_symmetry_space_group_name_H-M 'P 1'
_symmetry_Int_Tables_number 1
loop_
_symmetry_equiv_pos_as_xyz
'x,y,z'
loop_
_atom_site_label
_atom_site_fract_x
_atom_site_fract_y
_atom_site_fract_z
As1 0.000 0.000 0.500
Se1 0.500 0.500 0.500
Br1 0.000 0.500 0.000
Br2 0.500 0.000 0.000
W1 0.000 0.000 0.000
```

Computed properties:
Space group   P4/mmm
Energy relative to the elements, uncorrected   0.62 eV per atom
Distance to the lowest polymorph of the same formula   0.0 kJ/mol of formula units
Theoretical density   6.68 g/cm3



[7]
Below is crystalline ZnSbRhSe2 at its relaxed geometry, with properties calculated at the PBE level.

Cell and atoms, written as CIF:
```
data_ZnSbRhSe2
_chemical_formula_sum 'Zn1 Sb1 Rh1 Se2'
_cell_length_a 4.869
_cell_length_b 5.290
_cell_length_c 4.869
_cell_angle_alpha 90.00
_cell_angle_beta 90.00
_cell_angle_gamma 90.00
_symmetry_space_group_name_H-M 'P 1'
_symmetry_Int_Tables_number 1
loop_
_symmetry_equiv_pos_as_xyz
'x,y,z'
loop_
_atom_site_label
_atom_site_fract_x
_atom_site_fract_y
_atom_site_fract_z
Sb1 0.000 0.500 0.000
Zn1 0.500 0.500 0.500
Rh1 0.000 0.000 0.000
Se1 0.000 0.000 0.500
Se2 0.500 0.000 0.000
```

Computed properties:
Space group   P4/mmm
Energy relative to the elements, uncorrected   0.38 eV per atom
Theoretical density   5.93 g/cm3



[8]
Below is crystalline LaMgZn2Cu at its relaxed geometry, with properties calculated at the PBE level.

Cell and atoms, written as CIF:
```
data_LaMgZn2Cu
_chemical_formula_sum 'La1 Mg1 Zn2 Cu1'
_cell_length_a 4.725
_cell_length_b 4.725
_cell_length_c 4.794
_cell_angle_alpha 90.00
_cell_angle_beta 90.00
_cell_angle_gamma 90.00
_symmetry_space_group_name_H-M 'P 1'
_symmetry_Int_Tables_number 1
loop_
_symmetry_equiv_pos_as_xyz
'x,y,z'
loop_
_atom_site_label
_atom_site_fract_x
_atom_site_fract_y
_atom_site_fract_z
Zn1 0.000 0.500 0.000
Zn2 0.500 0.000 0.000
Mg1 0.000 0.000 0.500
Cu1 0.000 0.000 0.000
La1 0.500 0.500 0.500
```

Computed properties:
Space group   P4/mmm
Distance to the lowest polymorph of the same formula   0.0 kJ/mol of formula units
Calculated formation energy   -0.112 eV per atom
Theoretical density   5.55 g/cm3



[9]
Below is crystalline Sr2SnP2 at its relaxed geometry, with properties calculated at the PBE level.

Cell and atoms, written as CIF:
```
data_Sr2SnP2
_chemical_formula_sum 'Sr4 Sn2 P4'
_cell_length_a 7.874
_cell_length_b 7.874
_cell_length_c 4.217
_cell_angle_alpha 90.00
_cell_angle_beta 90.00
_cell_angle_gamma 90.00
_symmetry_space_group_name_H-M 'P 1'
_symmetry_Int_Tables_number 1
loop_
_symmetry_equiv_pos_as_xyz
'x,y,z'
loop_
_atom_site_label
_atom_site_fract_x
_atom_site_fract_y
_atom_site_fract_z
Sr1 0.149 0.649 0.500
Sr2 0.649 0.851 0.500
Sr3 0.851 0.351 0.500
Sr4 0.351 0.149 0.500
Sn1 0.000 0.000 0.000
Sn2 0.500 0.500 0.000
P1 0.338 0.838 0.000
P2 0.838 0.662 0.000
P3 0.662 0.162 0.000
P4 0.162 0.338 0.000
```

Computed properties:
Space group   P4/mbm
Distance to the lowest polymorph of the same formula   0.0 kJ/mol of formula units
Calculated formation energy   -0.706 eV per atom
Theoretical density   4.52 g/cm3



[10]
Below is crystalline PrZnInAg at its relaxed geometry, with properties calculated at the PBE level.

Cell and atoms, written as CIF:
```
data_PrZnInAg
_chemical_formula_sum 'Pr1 Zn1 In1 Ag1'
_cell_length_a 5.024
_cell_length_b 5.024
_cell_length_c 5.024
_cell_angle_alpha 60.00
_cell_angle_beta 60.00
_cell_angle_gamma 60.00
_symmetry_space_group_name_H-M 'P 1'
_symmetry_Int_Tables_number 1
loop_
_symmetry_equiv_pos_as_xyz
'x,y,z'
loop_
_atom_site_label
_atom_site_fract_x
_atom_site_fract_y
_atom_site_fract_z
Pr1 0.750 0.750 0.750
Zn1 0.500 0.500 0.500
Ag1 0.000 0.000 0.000
In1 0.250 0.250 0.250
```

Computed properties:
Space group   F-43m
Calculated formation energy   -0.349 eV per atom
Theoretical density   7.95 g/cm3



[11]
Below is crystalline KBr5 at its relaxed geometry, with properties calculated at the PBE level.

Cell and atoms, written as CIF:
```
data_KBr5
_chemical_formula_sum 'K1 Br5'
_cell_length_a 12.862
_cell_length_b 12.862
_cell_length_c 4.363
_cell_angle_alpha 90.00
_cell_angle_beta 90.00
_cell_angle_gamma 162.55
_symmetry_space_group_name_H-M 'P 1'
_symmetry_Int_Tables_number 1
loop_
_symmetry_equiv_pos_as_xyz
'x,y,z'
loop_
_atom_site_label
_atom_site_fract_x
_atom_site_fract_y
_atom_site_fract_z
K1 0.104 0.896 0.500
Br1 0.980 0.020 0.000
Br2 0.309 0.691 0.000
Br3 0.650 0.350 0.000
Br4 0.480 0.520 0.500
Br5 0.809 0.191 0.500
```

Computed properties:
Space group   Amm2
Energy relative to the elements, uncorrected   -0.35 eV per atom
Distance to the lowest polymorph of the same formula   9.4 kJ/mol of formula units
Theoretical density   3.37 g/cm3



[12]
Below is crystalline LiY3Sc3Te8 at its relaxed geometry, with properties calculated at the PBE level.

Cell and atoms, written as CIF:
```
data_LiY3Sc3Te8
_chemical_formula_sum 'Li1 Y3 Sc3 Te8'
_cell_length_a 8.484
_cell_length_b 8.484
_cell_length_c 8.502
_cell_angle_alpha 119.93
_cell_angle_beta 90.00
_cell_angle_gamma 120.00
_symmetry_space_group_name_H-M 'P 1'
_symmetry_Int_Tables_number 1
loop_
_symmetry_equiv_pos_as_xyz
'x,y,z'
loop_
_atom_site_label
_atom_site_fract_x
_atom_site_fract_y
_atom_site_fract_z
Li1 0.000 0.000 0.500
Y1 0.000 0.000 0.000
Y2 0.000 0.500 0.000
Y3 0.500 0.500 0.000
Sc1 0.500 0.000 0.500
Sc2 0.500 0.500 0.500
Sc3 0.000 0.500 0.500
Te1 0.255 0.510 0.265
Te2 0.745 0.490 0.735
Te3 0.749 0.499 0.259
Te4 0.251 0.501 0.741
Te5 0.749 0.010 0.259
Te6 0.251 0.990 0.741
Te7 0.260 0.010 0.259
Te8 0.740 0.990 0.741
```

Computed properties:
Space group   R-3m
Energy relative to the elements, uncorrected   -1.24 eV per atom
Theoretical density   5.48 g/cm3